[1]
Density functional theory data (PBE) for a relaxed LuHg2Pt crystal.

Geometry as CIF:
```
data_LuHg2Pt
_symmetry_space_group_name_H-M 'F -4 3 m'
_symmetry_Int_Tables_number 216
_symmetry_space_group_name_Hall 'F -4 2 3'
_cell_length_a 8.092
_cell_length_b 8.092
_cell_length_c 8.092
_cell_angle_alpha 90.00
_cell_angle_beta 90.00
_cell_angle_gamma 90.00
loop_
_atom_site_label
_atom_site_type_symbol
_atom_site_fract_x
_atom_site_fract_y
_atom_site_fract_z
Lu1 Lu 0.000 0.000 0.000
Hg1 Hg 0.000 0.000 0.500
Hg2 Hg 0.250 0.250 0.250
Pt1 Pt 0.250 0.250 0.750
```

electronic total energy = -2.534 eV per atom
formation energy from the elements = 259 meV/atom
total moment = 0.01 μB per formula unit

***

[2]
Density functional theory data (PBE) for a relaxed AcGdPa crystal.

Geometry as CIF:
```
data_AcGdPa
_symmetry_space_group_name_H-M 'F -4 3 m'
_symmetry_Int_Tables_number 216
_symmetry_space_group_name_Hall 'F -4 2 3'
_cell_length_a 7.747
_cell_length_b 7.747
_cell_length_c 7.747
_cell_angle_alpha 90.00
_cell_angle_beta 90.00
_cell_angle_gamma 90.00
loop_
_atom_site_label
_atom_site_type_symbol
_atom_site_fract_x
_atom_site_fract_y
_atom_site_fract_z
Ac1 Ac 0.000 0.000 0.000
Gd1 Gd 0.250 0.250 0.750
Pa1 Pa 0.250 0.250 0.250
```

electronic total energy = -4.829 eV per atom
formation energy from the elements = 1256 meV/atom
total moment = 2.11 μB per formula unit

***

[3]
Density functional theory data (PBE) for a relaxed LaSnTe2AuSe crystal.

Geometry as CIF:
```
data_LaSnTe2AuSe
_symmetry_space_group_name_H-M 'C m c m'
_symmetry_Int_Tables_number 63
_symmetry_space_group_name_Hall '-C 2c 2'
_cell_length_a 4.314
_cell_length_b 14.859
_cell_length_c 10.921
_cell_angle_alpha 90.00
_cell_angle_beta 90.00
_cell_angle_gamma 90.00
loop_
_atom_site_label
_atom_site_type_symbol
_atom_site_fract_x
_atom_site_fract_y
_atom_site_fract_z
La1 La 0.000 0.000 0.000
Sn1 Sn 0.000 0.252 0.250
Te1 Te 0.000 0.343 0.566
Au1 Au 0.000 0.474 0.750
Se1 Se 0.000 0.087 0.750
```

electronic total energy = -4.450 eV per atom
total moment = 0.00 μB per formula unit

***

[4]
Density functional theory data (PBE) for a relaxed SmSbIr crystal.

Geometry as CIF:
```
data_SmSbIr
_symmetry_space_group_name_H-M 'C 1 m 1'
_symmetry_Int_Tables_number 8
_cell_length_a 11.289
_cell_length_b 3.976
_cell_length_c 6.002
_cell_angle_alpha 90.00
_cell_angle_beta 90.05
_cell_angle_gamma 90.00
loop_
_symmetry_equiv_pos_as_xyz
'x,y,z'
'x,-y,z'
'x+1/2,y+1/2,z'
'x+1/2,-y+1/2,z'
loop_
_atom_site_label
_atom_site_type_symbol
_atom_site_fract_x
_atom_site_fract_y
_atom_site_fract_z
Sm1 Sm 0.000 0.000 0.000
Sm2 Sm 0.136 0.500 0.499
Sb1 Sb 0.217 0.500 0.000
Sb2 Sb 0.419 0.500 0.500
Ir1 Ir 0.317 0.000 0.250
Ir2 Ir 0.317 0.000 0.749
```

electronic total energy = -6.635 eV per atom
total moment = 0.00 μB per formula unit